This record from the Alexandria database describes PdPtAu2 after structural relaxation. The functional is GGA-PBE.

Cell lengths 3.9635, 4.1069, 4.1069 Å; angles 90.00, 90.00, 90.00 degrees
Last column: nearest neighbours and their distance in Å.
Positions (direct):
1 Pd 0.5000 0.5000 0.5000  8 Au 2.85, 4 Pt 2.90
2 Au 0.0000 0.5000 0.0000  4 Pd 2.85, 4 Pt 2.85, 4 Au 2.90
3 Au 0.0000 0.0000 0.5000  4 Pd 2.85, 4 Pt 2.85, 4 Au 2.90
4 Pt 0.5000 0.0000 0.0000  8 Au 2.85, 4 Pd 2.90

Computed properties:
For the volume, the calculation gives 16.71 Å³/atom. The total magnetization comes out at 0.00 μB per formula unit. Its offset from the most stable computed form is 11 meV per atom. As for the calculated formation energy: 17 meV per atom. The calculated density comes out at 17.3 g cm⁻³. As for the total energy: -17.7 eV/f.u. Its space-group type is P4/mmm (123).